7
Lattice="3.8063 0.0000 0.0000 1.9032 5.7552 0.0242 1.9032 2.1900 5.8082" Properties=species:S:1:pos:R:3 comment="Sm2MnS2O2 GGA+U optimized geometry" e_tot_ev_per_fu=-51.640 dos_ef_per_ev_atom=0.00 density_g_cm3=5.91 pbc="T T T"
Sm 5.7095 5.3357 4.2769
Mn 0.0000 0.0000 0.0000
Sm 1.9032 2.6095 1.5555
S 3.8063 5.3433 1.9254
O 3.8063 5.9499 5.3388
S 3.8063 2.6019 3.9069
O 3.8063 1.9953 0.4935